(1)
KTl3Se PBE relaxed; ρ = 5.408 Mg/m³; raw total energy = -11.81 eV/cell; space group = No. 221
1.0
-1.283 2.758 5.262
4.471 -3.097 2.713
3.913 4.443 -1.375
Tl K Se
3 1 1
Cartesian
1.956 2.222 -0.687
2.235 -1.549 1.357
-0.641 1.379 2.631
3.550 2.052 3.300
0.000 0.000 0.000

---

(2)
K3TlSe2 PBE relaxed; ρ = 3.278 Mg/m³; raw total energy = -35.34 eV/cell; space group = No. 72
1.0
7.905 0.000 0.000
0.000 7.841 0.000
-3.952 -3.920 7.841
K Se Tl
6 4 2
Cartesian
3.952 1.960 0.000
0.000 1.960 3.726
3.952 5.881 0.000
0.000 5.881 3.726
3.952 1.960 4.115
3.952 -1.960 4.115
2.204 3.920 2.110
1.748 0.000 5.731
5.700 0.000 2.110
-1.748 3.920 5.731
0.000 3.920 0.000
0.000 0.000 0.000

---

(3)
KTlSe2 PBE relaxed; ρ = 4.941 Mg/m³; raw total energy = -12.23 eV/cell; space group = No. 99
1.0
4.042 0.000 0.000
0.000 4.042 0.000
0.000 0.000 8.255
K Se Tl
1 2 1
Cartesian
2.021 2.021 6.691
2.021 2.021 3.349
0.000 0.000 8.101
0.000 0.000 2.495

---

(4)
KTl2Se3 PBE relaxed; ρ = 4.972 Mg/m³; raw total energy = -38.15 eV/cell; space group = No. 36
1.0
-4.755 -1.065 -5.137
-0.968 -8.124 2.579
-5.050 6.030 3.425
Tl Se K
4 6 2
Cartesian
-2.698 -6.125 3.606
-3.131 -5.980 -0.904
-5.422 3.318 4.170
-5.854 3.463 -0.340
-3.996 3.457 1.786
-1.493 -5.223 1.267
-2.120 -0.693 1.365
-6.997 -2.095 1.291
-8.069 2.335 0.909
-5.566 -6.345 0.390
-4.328 -1.472 3.746
-4.618 -1.278 -0.905

---

Number 1: ΔE to the lowest computed polymorph 0.00 kcal/mol of atoms. Number 2: ΔE to the lowest computed polymorph 0.00 kcal/mol of atoms. Number 3: ΔE to the lowest computed polymorph 4.78 kcal/mol of atoms. Number 4: ΔE to the lowest computed polymorph 0.00 kcal/mol of atoms.